1.
Compound: LaZnPt2
Source: Alexandria via LeMat-Bulk
Functional: GGA-PBE
Structure: relaxed

Its crystal system is monoclinic.

The space group is Cm (No. 8) and the conventional cell measures 7.628, 4.378 and 5.698 Å, with angles of 90.00, 115.57 and 90.00 degrees. Symmetry generates all atoms from La at (0.000, 0.000, 0.000), Zn at (0.204, 0.000, 0.600), Pt at (0.047, 0.500, 0.632) and Pt at (0.300, 0.500, 0.386).

2.
Compound: Tb2YAl2
Source: Alexandria via LeMat-Bulk
Functional: GGA-PBE
Structure: relaxed

Its crystal system is monoclinic. As for the energy above the most stable polymorph in this dataset: 0 kJ/mol of formula units.

The space group is P2_1/m (No. 11) and the conventional cell measures 3.661, 5.147 and 13.548 Å, with angles of 90.00, 97.78 and 90.00 degrees. Symmetry generates all atoms from Tb at (0.047, 0.250, 0.094), Tb at (0.233, 0.250, 0.467), Y at (0.144, 0.750, 0.289), Al at (0.360, 0.750, 0.718) and Al at (0.451, 0.250, 0.901).

3.
Compound: Tb7Nd4Sm
Source: Alexandria via LeMat-Bulk
Functional: GGA-PBE
Structure: relaxed

Its crystal system is triclinic. As for the energy above the most stable polymorph in this dataset: 0 kJ/mol of formula units.

The space group is P-1 (No. 2) and the conventional cell measures 6.597, 6.900 and 9.154 Å, with angles of 85.43, 77.27 and 82.15 degrees. Symmetry generates all atoms from Tb at (0.000, 0.000, 0.000), Tb at (0.189, 0.605, 0.384), Tb at (0.319, 0.198, 0.641), Tb at (0.488, 0.749, 0.051), Nd at (0.162, 0.113, 0.309), Nd at (0.361, 0.692, 0.717) and Sm at (0.000, 0.500, 0.000).

Number 1: calculated formation energy -0.7652 eV/atom. Number 2: calculated formation energy -0.3217 eV/atom. Number 3: calculated formation energy 0.0848 eV/atom.